Entry from Alexandria: a relaxed structure of Cr2RhBr (GGA-PBEsol).

Cell: 2.898 2.898 7.956 Å, 79.51 79.51 60.00°
Element x y z (fractional)
Br 0.258 0.258 0.225
Cr 0.009 0.009 0.974
Rh 0.491 0.491 0.528
Cr 0.743 0.743 0.772

Properties
E_form (uncorrected) = 0.447 eV per atom
mass density = 8.4 Mg/m³
spin magnetization = 0.00 μB per atom
symmetry = R3m (160)

---

Entry from Alexandria: a relaxed structure of InBi3Se (GGA-PBEsol).

Cell: 5.528 5.528 5.528 Å, 90.00 90.00 90.00°
Element x y z (fractional)
Bi 0.000 0.000 0.500
Bi 0.500 0.000 0.000
Bi 0.000 0.500 0.000
Se 0.000 0.000 0.000
In 0.500 0.500 0.500

Properties
E_form (uncorrected) = 0.440 eV per atom
mass density = 8.1 Mg/m³
spin magnetization = 0.00 μB per atom
symmetry = Pm-3m (221)

---

Entry from Alexandria: a relaxed structure of In2Hg (GGA-PBEsol).

Cell: 3.885 5.240 7.490 Å, 90.00 105.03 90.00°
Element x y z (fractional)
In 0.239 0.750 0.479
Hg 0.577 0.750 0.155
In 0.914 0.750 0.828
In 0.761 0.250 0.521
Hg 0.423 0.250 0.845
In 0.086 0.250 0.172

Properties
mass density = 9.7 Mg/m³
spin magnetization = 0.00 μB per atom
symmetry = Cmcm (63)
formation energy = -0.139 kcal/mol of atoms